Record 1
{
  "formula": "CaGaHgPb2",
  "functional": "PBE-GGA",
  "state": "optimized geometry",
  "lattice": [[5.7116, 0.0000, 0.0000], [0.0000, 5.7116, 0.0000], [0.0000, 0.0000, 5.7604]],
  "species": ["Ca", "Ga", "Hg", "Pb", "Pb"],
  "fractional_positions": [[0.0000, 0.0000, 0.0000], [0.5000, 0.5000, 0.0000], [0.0000, 0.0000, 0.5000], [0.0000, 0.5000, 0.5000], [0.5000, 0.0000, 0.5000]],
  "vol_a3_per_atom": 37.6,
  "dft_energy_ev_per_atom": -2.25,
  "total_magnetization_mub_per_cell": 0.0,
  "space_group": "No. 123",
  "ef_ev_per_atom": 0.30,
  "n_ef_per_ev_cell": 3.1
}

Record 2
{
  "formula": "Li2BeMo",
  "functional": "PBE-GGA",
  "state": "optimized geometry",
  "lattice": [[2.6666, 0.0000, 0.0000], [0.0000, 2.6666, 0.0000], [0.0000, 0.0000, 7.8861]],
  "species": ["Li", "Li", "Be", "Mo"],
  "fractional_positions": [[0.0000, 0.0000, 0.0000], [0.5000, 0.5000, 0.2929], [0.0000, 0.0000, 0.5063], [0.5000, 0.5000, 0.7137]],
  "vol_a3_per_atom": 14.0,
  "dft_energy_ev_per_atom": -4.39,
  "total_magnetization_mub_per_cell": 0.0,
  "space_group": "No. 99",
  "ef_ev_per_atom": 0.20,
  "e_above_lowest_polymorph_mev_per_atom": 0.0,
  "n_ef_per_ev_cell": 3.1
}

Record 3
{
  "formula": "Li6MgAg12",
  "functional": "PBE-GGA",
  "state": "optimized geometry",
  "lattice": [[6.0129, 3.4715, 2.8339], [-6.0129, 3.4715, 2.8339], [0.0000, -6.9431, 2.8339]],
  "species": ["Li", "Li", "Li", "Li", "Li", "Li", "Mg", "Ag", "Ag", "Ag", "Ag", "Ag", "Ag", "Ag", "Ag", "Ag", "Ag", "Ag", "Ag"],
  "fractional_positions": [[0.1373, 0.2732, 0.8500], [0.1500, 0.8627, 0.7268], [0.2732, 0.8500, 0.1373], [0.7268, 0.1500, 0.8627], [0.8500, 0.1373, 0.2732], [0.8627, 0.7268, 0.1500], [0.5000, 0.5000, 0.5000], [0.0829, 0.4759, 0.1874], [0.1730, 0.4764, 0.6014], [0.1874, 0.0829, 0.4759], [0.3987, 0.8270, 0.5236], [0.4759, 0.1874, 0.0829], [0.4764, 0.6013, 0.1730], [0.5236, 0.3987, 0.8270], [0.5241, 0.8126, 0.9171], [0.6013, 0.1730, 0.4764], [0.8126, 0.9171, 0.5241], [0.8270, 0.5236, 0.3987], [0.9171, 0.5241, 0.8126]],
  "vol_a3_per_atom": 18.7,
  "dft_energy_ev_per_atom": -2.57,
  "total_magnetization_mub_per_cell": 0.0,
  "space_group": "No. 148",
  "ef_ev_per_atom": -0.08,
  "n_ef_per_ev_cell": 5.2
}

Record 4
{
  "formula": "NaAcInGa",
  "functional": "PBE-GGA",
  "state": "optimized geometry",
  "lattice": [[7.7580, 0.0000, 0.0000], [0.0000, 7.7580, 0.0000], [0.0000, 0.0000, 7.7580]],
  "species": ["Na", "Na", "Na", "Na", "Ac", "Ac", "Ac", "Ac", "In", "In", "In", "In", "Ga", "Ga", "Ga", "Ga"],
  "fractional_positions": [[0.0000, 0.0000, 0.0000], [0.0000, 0.5000, 0.5000], [0.5000, 0.0000, 0.5000], [0.5000, 0.5000, 0.0000], [0.0000, 0.0000, 0.5000], [0.0000, 0.5000, 0.0000], [0.5000, 0.0000, 0.0000], [0.5000, 0.5000, 0.5000], [0.2500, 0.2500, 0.2500], [0.2500, 0.7500, 0.7500], [0.7500, 0.2500, 0.7500], [0.7500, 0.7500, 0.2500], [0.2500, 0.2500, 0.7500], [0.2500, 0.7500, 0.2500], [0.7500, 0.2500, 0.2500], [0.7500, 0.7500, 0.7500]],
  "vol_a3_per_atom": 29.2,
  "dft_energy_ev_per_atom": -3.06,
  "total_magnetization_mub_per_cell": 0.0,
  "space_group": "No. 216",
  "ef_ev_per_atom": -0.26,
  "n_ef_per_ev_cell": 8.0
}